Material: Te5Ir3
Method: DFT, GGA-PBE
State: optimized geometry

Cell and atoms, written as CIF:
```
data_Te5Ir3
_cell_length_a 7.964
_cell_length_b 12.248
_cell_length_c 3.993
_cell_angle_alpha 90.00
_cell_angle_beta 90.00
_cell_angle_gamma 90.00
_symmetry_space_group_name_H-M 'C m m m'
_symmetry_Int_Tables_number 65
_symmetry_space_group_name_Hall '-C 2 2'
loop_
_atom_site_label
_atom_site_type_symbol
_atom_site_fract_x
_atom_site_fract_y
_atom_site_fract_z
_atom_site_occupancy
Te1 Te 0.000 0.000 0.000 1
Te2 Te 0.215 0.500 0.500 1
Te3 Te 0.250 0.250 0.000 1
Ir1 Ir 0.000 0.335 0.500 1
Ir2 Ir 0.000 0.500 0.000 1
```

## Properties
* ΔE_f (raw): 38.2 kJ per mole of atoms

Material: TeIr8
Method: DFT, GGA-PBE
State: optimized geometry

Cell and atoms, written as CIF:
```
data_TeIr8
_cell_length_a 8.366
_cell_length_b 8.366
_cell_length_c 3.955
_cell_angle_alpha 90.00
_cell_angle_beta 90.00
_cell_angle_gamma 90.00
_symmetry_space_group_name_H-M 'I 4/m m m'
_symmetry_Int_Tables_number 139
_symmetry_space_group_name_Hall '-I 4 2'
loop_
_atom_site_label
_atom_site_type_symbol
_atom_site_fract_x
_atom_site_fract_y
_atom_site_fract_z
_atom_site_occupancy
Te1 Te 0.000 0.000 0.000 1
Ir1 Ir 0.000 0.335 0.000 1
Ir2 Ir 0.175 0.175 0.500 1
```

## Properties
* ΔE_f (raw): 26.3 kJ per mole of atoms

Material: Te2Ir
Method: DFT, GGA-PBE
State: optimized geometry

Cell and atoms, written as CIF:
```
data_Te2Ir
_cell_length_a 13.540
_cell_length_b 3.797
_cell_length_c 9.565
_cell_angle_alpha 90.00
_cell_angle_beta 134.37
_cell_angle_gamma 90.00
_symmetry_space_group_name_H-M 'C 1 2/m 1'
_symmetry_Int_Tables_number 12
_symmetry_space_group_name_Hall '-C 2y'
loop_
_atom_site_label
_atom_site_type_symbol
_atom_site_fract_x
_atom_site_fract_y
_atom_site_fract_z
_atom_site_occupancy
Te1 Te 0.030 0.000 0.376 1
Te2 Te 0.172 0.000 0.111 1
Ir1 Ir 0.133 0.500 0.880 1
```

## Properties
* ΔE_f (raw): -11.2 kJ per mole of atoms

Material: Te2Ir
Method: DFT, GGA-PBE
State: optimized geometry

Cell and atoms, written as CIF:
```
data_Te2Ir
_cell_length_a 4.518
_cell_length_b 4.518
_cell_length_c 3.578
_cell_angle_alpha 90.00
_cell_angle_beta 90.00
_cell_angle_gamma 90.00
_symmetry_space_group_name_H-M 'P 4/m m m'
_symmetry_Int_Tables_number 123
_symmetry_space_group_name_Hall '-P 4 2'
loop_
_atom_site_label
_atom_site_type_symbol
_atom_site_fract_x
_atom_site_fract_y
_atom_site_fract_z
_atom_site_occupancy
Te1 Te 0.000 0.500 0.000 1
Ir1 Ir 0.000 0.000 0.500 1
```

## Properties
* ΔE_f (raw): 34.4 kJ per mole of atoms

Material: Te2Ir
Method: DFT, GGA-PBE
State: optimized geometry

Cell and atoms, written as CIF:
```
data_Te2Ir
_cell_length_a 4.056
_cell_length_b 13.813
_cell_length_c 5.449
_cell_angle_alpha 90.00
_cell_angle_beta 90.00
_cell_angle_gamma 90.00
_symmetry_space_group_name_H-M 'C m c m'
_symmetry_Int_Tables_number 63
_symmetry_space_group_name_Hall '-C 2c 2'
loop_
_atom_site_label
_atom_site_type_symbol
_atom_site_fract_x
_atom_site_fract_y
_atom_site_fract_z
_atom_site_occupancy
Te1 Te 0.000 0.045 0.250 1
Te2 Te 0.000 0.296 0.250 1
Ir1 Ir 0.000 0.333 0.750 1
```

## Properties
* ΔE_f (raw): -19.3 kJ per mole of atoms

Material: Te2Ir
Method: DFT, GGA-PBE
State: optimized geometry

Cell and atoms, written as CIF:
```
data_Te2Ir
_cell_length_a 3.296
_cell_length_b 3.296
_cell_length_c 13.314
_cell_angle_alpha 90.00
_cell_angle_beta 90.00
_cell_angle_gamma 90.00
_symmetry_space_group_name_H-M 'I 4/m m m'
_symmetry_Int_Tables_number 139
_symmetry_space_group_name_Hall '-I 4 2'
loop_
_atom_site_label
_atom_site_type_symbol
_atom_site_fract_x
_atom_site_fract_y
_atom_site_fract_z
_atom_site_occupancy
Te1 Te 0.000 0.000 0.126 1
Ir1 Ir 0.000 0.000 0.500 1
```

## Properties
* ΔE_f (raw): 26.8 kJ per mole of atoms

Material: Te2Ir3
Method: DFT, GGA-PBE
State: optimized geometry

Cell and atoms, written as CIF:
```
data_Te2Ir3
_cell_length_a 8.453
_cell_length_b 13.108
_cell_length_c 6.671
_cell_angle_alpha 90.00
_cell_angle_beta 90.00
_cell_angle_gamma 90.00
_symmetry_space_group_name_H-M 'F d d 2'
_symmetry_Int_Tables_number 43
_symmetry_space_group_name_Hall 'F 2 -2d'
loop_
_atom_site_label
_atom_site_type_symbol
_atom_site_fract_x
_atom_site_fract_y
_atom_site_fract_z
_atom_site_occupancy
Te1 Te 0.068 0.208 0.000 1
Ir1 Ir 0.000 0.000 0.074 1
Ir2 Ir 0.030 0.100 0.443 1
```

## Properties
* ΔE_f (raw): 23.2 kJ per mole of atoms

Material: Te2Ir
Method: DFT, GGA-PBE
State: optimized geometry

Cell and atoms, written as CIF:
```
data_Te2Ir
_cell_length_a 6.4414
_cell_length_b 6.4414
_cell_length_c 11.3076
_cell_angle_alpha 90.00
_cell_angle_beta 90.00
_cell_angle_gamma 120.00
_symmetry_space_group_name_H-M 'P 63/m m c'
_symmetry_Int_Tables_number 194
_symmetry_space_group_name_Hall '-P 6c 2c'
loop_
_atom_site_label
_atom_site_type_symbol
_atom_site_fract_x
_atom_site_fract_y
_atom_site_fract_z
_atom_site_occupancy
Te1 Te 0.0000 0.0000 0.0000 1
Te2 Te 0.1649 0.3297 0.2500 1
Ir1 Ir 0.3333 0.6667 0.0951 1
```

## Properties
* ΔE_f (raw): 80.9 kJ per mole of atoms